Compound: Y4GePS2
Source: Alexandria via LeMat-Bulk
Functional: PBE
Structure: optimized geometry

Unit cell a=6.948 b=4.020 c=6.962 alpha=90.00 beta=109.47 gamma=90.00
Space group P2/m (No. 10)
Symmetry-distinct sites (fractional):
Y: 0.243 0.000 0.246 x2
Y: 0.246 0.500 0.751 x2
Ge: 0.000 0.000 0.500 x1
P: 0.000 0.500 0.000 x1
S: 0.500 0.000 0.000 x1
S: 0.500 0.500 0.500 x1

Values from the calculation:
Formation energy without anion corrections   -163 kJ/mol of atoms
Size of the total moment   0.000 μB/f.u.
Energy   -57.6 eV per cell
Fermi-level density of states   1.49 states/eV/cell

***

Compound: AcLaPm4Ho2
Source: Alexandria via LeMat-Bulk
Functional: PBE
Structure: optimized geometry

Unit cell a=12.728 b=7.334 c=12.761 alpha=90.00 beta=109.43 gamma=90.00
Space group C2/m (No. 12)
Symmetry-distinct sites (fractional):
Ac: 0.000 0.000 0.000 x2
Ac: 0.000 0.000 0.500 x2
La: 0.250 0.250 0.000 x4
Pm: 0.001 0.253 0.252 x8
Pm: 0.248 0.500 0.744 x4
Pm: 0.250 0.000 0.749 x4
Ho: 0.000 0.500 0.000 x2
Ho: 0.000 0.500 0.500 x2
Ho: 0.250 0.250 0.500 x4

Values from the calculation:
Size of the total moment   0.000 μB/f.u.
Energy   -147.8 eV per cell
Fermi-level density of states   48.41 states/eV/cell
ΔH_f (0 K)   0.24 eV/f.u.

***

Q: Number 1 is which compound?
A: Y4GePS2